(1)
! LaPmCu PBE optimized geometry; values from VASP
&SYSTEM
  ibrav = 0, nat = 3, ntyp = 3
/
ATOMIC_SPECIES
La 138.91 La.upf
Pm 145.00 Pm.upf
Cu 63.55 Cu.upf
CELL_PARAMETERS angstrom
0.000 3.451 3.451
3.451 0.000 3.451
3.451 3.451 0.000
ATOMIC_POSITIONS crystal
La 0.000 0.000 0.000
Pm 0.750 0.750 0.750
Cu 0.500 0.500 0.500
! Calculated formation energy ... 492 meV/atom
! SG ... F-43m (216)
! Calculated total energy ... -3.9696 eV per atom
! Energy relative to the lowest polymorph listed for this composition ... 0 meV/atom

***

(2)
! SnTeIr PBE optimized geometry; values from VASP
&SYSTEM
  ibrav = 0, nat = 3, ntyp = 3
/
ATOMIC_SPECIES
Sn 118.71 Sn.upf
Te 127.60 Te.upf
Ir 192.22 Ir.upf
CELL_PARAMETERS angstrom
0.000 3.262 3.262
3.262 0.000 3.262
3.262 3.262 0.000
ATOMIC_POSITIONS crystal
Sn 0.000 0.000 0.000
Te 0.500 0.500 0.500
Ir 0.250 0.250 0.250
! SG ... F-43m (216)
! Calculated total energy ... -5.4595 eV per atom

***

(3)
! ScBeP2Au PBE optimized geometry; values from VASP
&SYSTEM
  ibrav = 0, nat = 5, ntyp = 4
/
ATOMIC_SPECIES
Sc 44.96 Sc.upf
Be 9.01 Be.upf
P 30.97 P.upf
Au 196.97 Au.upf
CELL_PARAMETERS angstrom
3.798 0.000 0.000
-1.899 3.290 0.000
0.000 0.000 6.726
ATOMIC_POSITIONS crystal
Sc 0.000 0.000 0.000
Be 0.667 0.333 0.651
P 0.333 0.667 0.735
P 0.667 0.333 0.195
Au 0.333 0.667 0.376
! SG ... P3m1 (156)
! Calculated total energy ... -5.3730 eV per atom

***

(4)
! HfMgGaCo PBE optimized geometry; values from VASP
&SYSTEM
  ibrav = 0, nat = 4, ntyp = 4
/
ATOMIC_SPECIES
Hf 178.49 Hf.upf
Mg 24.30 Mg.upf
Ga 69.72 Ga.upf
Co 58.93 Co.upf
CELL_PARAMETERS angstrom
0.000 3.137 3.137
3.137 0.000 3.137
3.137 3.137 0.000
ATOMIC_POSITIONS crystal
Hf 0.000 0.000 0.000
Mg 0.750 0.750 0.750
Ga 0.500 0.500 0.500
Co 0.250 0.250 0.250
! SG ... F-43m (216)
! Calculated total energy ... -5.6002 eV per atom
! Energy relative to the lowest polymorph listed for this composition ... 32 meV/atom